## K2Na4Fe2O5 (GGA-PBEsol)

Data for a relaxed K2Na4Fe2O5 crystal.

a b c (Å): 6.3498 6.3498 10.2539
angles (deg): 90.00 90.00 90.00
Closest atoms and distances in Å follow each position.
Space group P4_2/mnm (No. 136)
Unique sites:
K 0.1939 0.1939 0.0000 [4 per cell]  1 O 2.75
Na 0.0000 0.0000 0.2769 [4 per cell]  3 O 2.26-2.29
Na 0.0000 0.5000 0.2500 [4 per cell]  4 O 2.43
Fe 0.2099 0.2099 0.5000 [4 per cell]  3 O 1.81-1.89
O 0.0000 0.0000 0.5000 [2 per cell]  2 Fe 1.89
O 0.2161 0.7839 0.1638 [8 per cell]  1 Fe 1.81

=====

## K2NaFeO3 (GGA-PBEsol)

Data for a relaxed K2NaFeO3 crystal.

a b c (Å): 6.2796 10.8913 6.6281
angles (deg): 90.00 90.00 90.00
Closest atoms and distances in Å follow each position.
Space group Cmme (No. 67)
Unique sites:
K 0.0000 0.2500 0.1604 [4 per cell]  4 O 2.74-2.78
K 0.2500 0.0000 0.5000 [4 per cell]  6 O 2.72-2.85
Na 0.2500 0.0000 0.0000 [4 per cell]  4 O 2.30
Fe 0.0000 0.2500 0.6671 [4 per cell]  4 O 1.85-1.92
O 0.0000 0.1060 0.8146 [8 per cell]  1 Fe 1.85
O 0.2500 0.2500 0.5000 [4 per cell]  2 Fe 1.92

=====

## K3NaFe2O8 (GGA-PBEsol)

Data for a relaxed K3NaFe2O8 crystal.

a b c (Å): 5.7670 5.7670 7.4857
angles (deg): 90.00 90.00 120.00
Closest atoms and distances in Å follow each position.
Space group P-3m1 (No. 164)
Unique sites:
K 0.0000 0.0000 0.0000 [1 per cell]  6 O 2.89
K 0.3333 0.6667 0.6606 [2 per cell]  1 O 2.58
Na 0.0000 0.0000 0.5000 [1 per cell]  6 O 2.32
Fe 0.3333 0.6667 0.2220 [2 per cell]  4 O 1.62-1.65
O 0.1793 0.3586 0.3024 [6 per cell]  1 Fe 1.65
O 0.3333 0.6667 0.0058 [2 per cell]  1 Fe 1.62

=====

Short version: DFT total energy = -5.235; -5.426; -6.035 eV/atom, in the order given.